# 1
# ScCuSe2

An optimized crystal structure of ScCuSe2 (GGA-PBEsol, Alexandria via LeMat-Bulk).

The uncorrected energy is -5.789 eV/atom. The calculation puts the uncorrected formation energy at -436 kJ/mol of formula units. Its space group is C2/m.

Unit cell a=7.289 b=7.289 c=6.596 alpha=116.27 beta=116.27 gamma=30.69
Element x y z (fractional)
Sc: 0.240 0.240 0.230
Sc: 0.760 0.760 0.770
Cu: 0.435 0.435 0.099
Cu: 0.565 0.565 0.901
Se: 0.124 0.124 0.776
Se: 0.372 0.372 0.692
Se: 0.628 0.628 0.308
Se: 0.876 0.876 0.224

=====

# 2
# ScCuSe2

An optimized crystal structure of ScCuSe2 (GGA-PBEsol, Alexandria via LeMat-Bulk).

The uncorrected energy is -5.767 eV/atom. The calculation puts the uncorrected formation energy at -427 kJ/mol of formula units. Its space group is P3m1.

Unit cell a=3.885 b=3.885 c=6.198 alpha=90.00 beta=90.00 gamma=120.00
Element x y z (fractional)
Sc: 0.000 0.000 0.000
Cu: 0.333 0.667 0.387
Se: 0.333 0.667 0.770
Se: 0.667 0.333 0.261

=====

# 3
# ScCu3Se

An optimized crystal structure of ScCu3Se (GGA-PBEsol, Alexandria via LeMat-Bulk).

The uncorrected energy is -4.251 eV/atom. The calculation puts the uncorrected formation energy at 212 kJ/mol of formula units. Its space group is Pm-3m.

Unit cell a=4.499 b=4.499 c=4.499 alpha=90.00 beta=90.00 gamma=90.00
Element x y z (fractional)
Sc: 0.000 0.000 0.000
Cu: 0.000 0.500 0.500
Cu: 0.500 0.000 0.500
Cu: 0.500 0.500 0.000
Se: 0.500 0.500 0.500

=====

# 4
# ScCuSe2

An optimized crystal structure of ScCuSe2 (GGA-PBEsol, Alexandria via LeMat-Bulk).

The uncorrected energy is -4.864 eV/atom. The calculation puts the uncorrected formation energy at -79 kJ/mol of formula units. Its space group is R-3m.

Unit cell a=8.144 b=8.144 c=8.144 alpha=25.22 beta=25.22 gamma=25.22
Element x y z (fractional)
Sc: 0.000 0.000 0.000
Cu: 0.500 0.500 0.500
Se: 0.108 0.108 0.108
Se: 0.892 0.892 0.892

=====

# 5
# ScCuSe2

An optimized crystal structure of ScCuSe2 (GGA-PBEsol, Alexandria via LeMat-Bulk).

The uncorrected energy is -4.931 eV/atom. The calculation puts the uncorrected formation energy at -105 kJ/mol of formula units. Its space group is F-43m.

Unit cell a=4.652 b=4.652 c=4.652 alpha=60.00 beta=60.00 gamma=60.00
Element x y z (fractional)
Sc: 0.000 0.000 0.000
Cu: 0.750 0.750 0.750
Se: 0.250 0.250 0.250
Se: 0.500 0.500 0.500

=====

# 6
# ScCuSe2

An optimized crystal structure of ScCuSe2 (GGA-PBEsol, Alexandria via LeMat-Bulk).

The uncorrected energy is -5.661 eV/atom. The calculation puts the uncorrected formation energy at -387 kJ/mol of formula units. Its space group is P4mm.

Unit cell a=3.647 b=3.647 c=5.579 alpha=90.00 beta=90.00 gamma=90.00
Element x y z (fractional)
Sc: 0.000 0.000 0.000
Cu: 0.500 0.500 0.669
Se: 0.000 0.000 0.546
Se: 0.500 0.500 0.105

=====

# 7
# ScCuSi2

An optimized crystal structure of ScCuSi2 (GGA-PBEsol, Alexandria via LeMat-Bulk).

The uncorrected energy is -5.976 eV/atom. The calculation puts the uncorrected formation energy at -142 kJ/mol of formula units. Its space group is I-4m2.

Unit cell a=4.962 b=4.962 c=4.962 alpha=136.01 beta=136.01 gamma=63.97
Element x y z (fractional)
Sc: 0.000 0.000 0.000
Cu: 0.250 0.750 0.500
Si: 0.500 0.500 0.000
Si: 0.750 0.250 0.500

=====

# 8
# ScCuSi

An optimized crystal structure of ScCuSi (GGA-PBEsol, Alexandria via LeMat-Bulk).

The uncorrected energy is -6.274 eV/atom. The calculation puts the uncorrected formation energy at -206 kJ/mol of formula units. Its space group is Pnma.

Unit cell a=6.481 b=3.951 c=7.125 alpha=90.00 beta=90.00 gamma=90.00
Element x y z (fractional)
Sc: 0.006 0.250 0.197
Sc: 0.494 0.750 0.697
Sc: 0.506 0.250 0.303
Sc: 0.994 0.750 0.803
Cu: 0.162 0.250 0.569
Cu: 0.338 0.750 0.069
Cu: 0.662 0.250 0.931
Cu: 0.838 0.750 0.431
Si: 0.225 0.750 0.394
Si: 0.275 0.250 0.894
Si: 0.725 0.750 0.106
Si: 0.775 0.250 0.606

=====

# 9
# ScCuSi

An optimized crystal structure of ScCuSi (GGA-PBEsol, Alexandria via LeMat-Bulk).

The uncorrected energy is -6.282 eV/atom. The calculation puts the uncorrected formation energy at -209 kJ/mol of formula units. Its space group is P-62m.

Unit cell a=6.331 b=6.331 c=3.909 alpha=90.00 beta=90.00 gamma=120.00
Element x y z (fractional)
Sc: 0.000 0.569 0.000
Sc: 0.431 0.431 0.000
Sc: 0.569 0.000 0.000
Cu: 0.000 0.242 0.500
Cu: 0.242 0.000 0.500
Cu: 0.758 0.758 0.500
Si: 0.000 0.000 0.000
Si: 0.333 0.667 0.500
Si: 0.667 0.333 0.500

=====

# 10
# ScCu2Si2

An optimized crystal structure of ScCu2Si2 (GGA-PBEsol, Alexandria via LeMat-Bulk).

The uncorrected energy is -5.911 eV/atom. The calculation puts the uncorrected formation energy at -269 kJ/mol of formula units. Its space group is I4/mmm.

Unit cell a=5.671 b=5.671 c=5.671 alpha=141.13 beta=141.13 gamma=56.14
Element x y z (fractional)
Sc: 0.000 0.000 0.000
Cu: 0.250 0.750 0.500
Cu: 0.750 0.250 0.500
Si: 0.387 0.387 0.000
Si: 0.613 0.613 0.000

=====

- Among the records above, which one has the highest uncorrected energy?
  ScCu3Se

=====

- Look up the uncorrected energy of the second one.
  -5.767 eV/atom